Entry 1:
BaInCuP: relaxed, PBE.

Cell lengths 4.171, 4.171, 12.213 Å; angles 90.00, 90.00, 90.00 degrees
Space group P4/nmm (No. 129, origin choice 2)
Unique sites:
1 Ba 0.250 0.250 0.216 [2 per cell]
2 In 0.250 0.750 0.500 [2 per cell]
3 Cu 0.250 0.750 0.000 [2 per cell]
4 P 0.250 0.250 0.899 [2 per cell]

Output
- DFT formation energy: -0.462 eV/atom
- Total DFT energy (no corrections): -4.004 eV/atom
- DOS at the Fermi energy: 5.8 states/eV/cell


Entry 2:
Ni2AgSn: relaxed, PBE.

Cell lengths 4.183, 4.183, 3.411 Å; angles 90.00, 90.00, 90.00 degrees
Space group P4/mmm (No. 123)
Unique sites:
1 Ni 0.000 0.500 0.000 [2 per cell]
2 Ag 0.000 0.000 0.500 [1 per cell]
3 Sn 0.500 0.500 0.500 [1 per cell]

Output
- DFT formation energy: 0.000 eV/atom
- Total DFT energy (no corrections): -4.604 eV/atom
- DOS at the Fermi energy: 2.6 states/eV/cell


- What is the formula in the second record?
  Ni2AgSn


Repeat the first record exactly.
BaInCuP: relaxed, PBE.

Cell lengths 4.171, 4.171, 12.213 Å; angles 90.00, 90.00, 90.00 degrees
Space group P4/nmm (No. 129, origin choice 2)
Unique sites:
1 Ba 0.250 0.250 0.216 [2 per cell]
2 In 0.250 0.750 0.500 [2 per cell]
3 Cu 0.250 0.750 0.000 [2 per cell]
4 P 0.250 0.250 0.899 [2 per cell]

Output
- DFT formation energy: -0.462 eV/atom
- Total DFT energy (no corrections): -4.004 eV/atom
- DOS at the Fermi energy: 5.8 states/eV/cell


- Among the records above, which one has the lowest DOS at the Fermi energy?
  Ni2AgSn